Material: MgCrAu
Method: DFT, PBE-GGA
State: relaxed

* space group: F-43m
* calculated formation energy: 0.140 eV/atom
* total DFT energy (no corrections): -4.692 eV/atom
* density: 7.11 g cm⁻³

a b c (Å): 4.486 4.486 4.486
angles (deg): 60.00 60.00 60.00
Positions (direct):
Cr 0.000 0.000 0.000
Mg 0.500 0.500 0.500
Au 0.750 0.750 0.750